No. 1
DFT (PBE-GGA) results for crystalline Cs2Mn3VCl12 at its relaxed geometry.

```
Cs2Mn3VCl12
1.0
4.502 2.600 7.563
-4.502 2.600 7.563
0.000 -5.199 7.563
Cs Mn V Cl
2 3 1 12
Direct
0.120 0.120 0.120
0.880 0.880 0.880
0.000 0.500 0.500
0.500 0.000 0.500
0.500 0.500 0.000
0.500 0.500 0.500
0.176 0.176 0.572
0.176 0.572 0.176
0.187 0.571 0.571
0.428 0.824 0.824
0.429 0.429 0.813
0.429 0.813 0.429
0.571 0.187 0.571
0.571 0.571 0.187
0.572 0.176 0.176
0.813 0.429 0.429
0.824 0.428 0.824
0.824 0.824 0.428
```

raw total energy: -4.658 eV/atom


No. 2
DFT (PBE-GGA) results for crystalline La5Sn3N at its relaxed geometry.

```
La5Sn3N
1.0
9.479 0.000 0.000
-4.740 8.209 0.000
0.000 0.000 6.839
La Sn N
10 6 2
Direct
0.000 0.214 0.250
0.000 0.786 0.750
0.214 0.000 0.250
0.214 0.214 0.750
0.333 0.667 0.000
0.333 0.667 0.500
0.667 0.333 0.000
0.667 0.333 0.500
0.786 0.000 0.750
0.786 0.786 0.250
0.000 0.405 0.750
0.000 0.595 0.250
0.405 0.000 0.750
0.405 0.405 0.250
0.595 0.000 0.250
0.595 0.595 0.750
0.000 0.000 0.000
0.000 0.000 0.500
```

raw total energy: -5.917 eV/atom


No. 3
DFT (PBE-GGA) results for crystalline RbAlTl2 at its relaxed geometry.

```
RbAlTl2
1.0
3.780 0.000 0.000
0.000 3.780 0.000
0.000 0.000 8.806
Rb Al Tl
1 1 2
Direct
0.000 0.000 0.000
0.000 0.000 0.500
0.500 0.500 0.310
0.500 0.500 0.690
```

formation energy: 0.071 eV per atom


Copy entry 3 word for word.
DFT (PBE-GGA) results for crystalline RbAlTl2 at its relaxed geometry.

```
RbAlTl2
1.0
3.780 0.000 0.000
0.000 3.780 0.000
0.000 0.000 8.806
Rb Al Tl
1 1 2
Direct
0.000 0.000 0.000
0.000 0.000 0.500
0.500 0.500 0.310
0.500 0.500 0.690
```

formation energy: 0.071 eV per atom